A geometry-optimized Ba2VBrF structure, computed with GGA+U.

Total energy ... -3.31 eV/atom
Size of the total moment ... 4.80 μB per formula unit
N(E_F) ... 9.53 states/eV/cell

abc: 6.176 6.176 5.386
angles: 90.00 90.00 90.00
Space group P4/mmm (No. 123)
Inequivalent atoms, fractional coordinates:
Ba 0.000 0.500 0.000
V 0.000 0.000 0.500
Br 0.500 0.500 0.000
F 0.500 0.500 0.500